[1]
Pa2Ga2Co4B (GGA-PBE, relaxed); E_form = -0.214 eV/atom; calculated total energy = -6.8974 eV per atom
1.0
-2.9958 2.9958 3.6711
2.9958 -2.9958 3.6711
2.9958 2.9958 -3.6711
Pa Ga Co B
2 2 4 1
direct
0.2500 0.7500 0.5000
0.7500 0.2500 0.5000
0.1809 0.1809 0.0000
0.8191 0.8191 0.0000
0.2638 0.2638 0.5277
0.2638 0.7362 0.0000
0.7362 0.2638 0.0000
0.7362 0.7362 0.4723
0.5000 0.5000 0.0000

[2]
GaCoBRh2 (GGA-PBE, relaxed); E_form = -0.278 eV/atom; calculated total energy = -6.5803 eV per atom
1.0
4.0638 0.0000 0.0000
0.0000 4.0638 0.0000
0.0000 0.0000 3.8403
Ga Co B Rh
1 1 1 2
direct
0.0000 0.0000 0.0000
0.5000 0.5000 0.0000
0.5000 0.5000 0.5000
0.0000 0.5000 0.5000
0.5000 0.0000 0.5000

[3]
Ga3Co4B2Ru3 (GGA-PBE, relaxed); E_form = -0.014 eV/atom; calculated total energy = -6.5711 eV per atom
1.0
-1.8945 2.0085 10.1139
1.8945 -2.0085 10.1139
1.8945 2.0085 -10.1139
Ga Co B Ru
3 4 2 3
direct
0.0000 0.0000 0.0000
0.1814 0.1814 0.0000
0.8186 0.8186 0.0000
0.2995 0.2995 0.0000
0.4029 0.9029 0.5000
0.5971 0.0971 0.5000
0.7005 0.7005 0.0000
0.3956 0.3956 0.0000
0.6044 0.6044 0.0000
0.0969 0.5969 0.5000
0.5000 0.5000 0.0000
0.9031 0.4031 0.5000